Record 1
A plane-wave DFT calculation with PBE was carried out for an optimized crystal structure of Ho2AlBRh6.

**Calculated formation energy**: -6.302 eV/f.u.
**D(E_F)**: 34.40 states/eV/cell
**Calculated total energy**: -279.94 eV for the cell shown

Structure (CIF):
```
data_Ho2AlBRh6
_chemical_formula_sum 'Ho8 Al4 B4 Rh24'
_space_group_name_H-M_alt 'F m -3 m'
_space_group_IT_number 225
_space_group_name_Hall '-F 4 2 3'
_cell_length_a 8.705
_cell_length_b 8.705
_cell_length_c 8.705
_cell_angle_alpha 90.00
_cell_angle_beta 90.00
_cell_angle_gamma 90.00
loop_
_atom_site_label
_atom_site_type_symbol
_atom_site_fract_x
_atom_site_fract_y
_atom_site_fract_z
Ho1 Ho 0.250 0.250 0.250
Al1 Al 0.000 0.000 0.000
B1 B 0.000 0.000 0.500
Rh1 Rh 0.000 0.000 0.265
```


Record 2
A plane-wave DFT calculation with PBE was carried out for an optimized crystal structure of CaTh3As4.

**Calculated formation energy**: -11.177 eV/f.u.
**D(E_F)**: 3.49 states/eV/cell
**Calculated total energy**: -54.04 eV for the cell shown

Structure (CIF):
```
data_CaTh3As4
_chemical_formula_sum 'Ca1 Th3 As4'
_space_group_name_H-M_alt 'P m -3 m'
_space_group_IT_number 221
_space_group_name_Hall '-P 4 2 3'
_cell_length_a 6.013
_cell_length_b 6.013
_cell_length_c 6.013
_cell_angle_alpha 90.00
_cell_angle_beta 90.00
_cell_angle_gamma 90.00
loop_
_atom_site_label
_atom_site_type_symbol
_atom_site_fract_x
_atom_site_fract_y
_atom_site_fract_z
Ca1 Ca 0.000 0.000 0.000
Th1 Th 0.000 0.500 0.500
As1 As 0.000 0.000 0.500
As2 As 0.500 0.500 0.500
```


Record 3
A plane-wave DFT calculation with PBE was carried out for an optimized crystal structure of Pr4ZnPt.

**Calculated formation energy**: -1.344 eV/f.u.
**D(E_F)**: 45.85 states/eV/cell
**Calculated total energy**: -111.11 eV for the cell shown
**Excess energy over the best structure of this formula in the dataset**: 255 meV/atom

Structure (CIF):
```
data_Pr4ZnPt
_chemical_formula_sum 'Pr16 Zn4 Pt4'
_space_group_name_H-M_alt 'I 41 m d'
_space_group_IT_number 109
_space_group_name_Hall 'I 4bw -2'
_cell_length_a 9.759
_cell_length_b 9.759
_cell_length_c 8.946
_cell_angle_alpha 90.00
_cell_angle_beta 90.00
_cell_angle_gamma 90.00
loop_
_atom_site_label
_atom_site_type_symbol
_atom_site_fract_x
_atom_site_fract_y
_atom_site_fract_z
Pr1 Pr 0.000 0.300 0.000
Pr2 Pr 0.000 0.302 0.481
Zn1 Zn 0.000 0.000 0.488
Pt1 Pt 0.000 0.000 0.991
```